VASP calculation (PBE) on Nb2SiPd after structural relaxation.

Cell: 7.1680 7.1680 5.7430 Å, 51.39 51.39 90.00°
Fractional coordinates of all 8 atoms:
Nb 0.8750 0.8624 0.7500
Pd 0.0000 0.0000 0.0000
Pd 0.7500 0.2500 0.5000
Nb 0.3750 0.3876 0.7500
Nb 0.1376 0.6250 0.2500
Si 0.5000 0.5000 0.0000
Nb 0.6124 0.1250 0.2500
Si 0.2500 0.7500 0.5000

Properties
Uncorrected formation energy, meV/atom: -8.9
Crystal system: tetragonal
Total magnetic moment, μB/atom: 0.000

=====

VASP calculation (PBE) on NbSi2Pd after structural relaxation.

Cell: 6.7063 6.7063 5.5719 Å, 53.00 53.00 90.00°
Fractional coordinates of all 8 atoms:
Pd 0.7500 0.2500 0.5000
Si 0.6516 0.1250 0.2500
Pd 0.0000 0.0000 0.0000
Si 0.0984 0.6250 0.2500
Nb 0.2500 0.7500 0.5000
Si 0.3750 0.3484 0.7500
Si 0.8750 0.9016 0.7500
Nb 0.5000 0.5000 0.0000

Properties
Uncorrected formation energy, meV/atom: -90.1
Crystal system: tetragonal
Total magnetic moment, μB/atom: 0.000

=====

VASP calculation (PBE) on NbSiPd after structural relaxation.

Cell: 3.7786 6.5447 11.2117 Å, 89.99 90.00 90.00°
Fractional coordinates of all 18 atoms:
Si 0.2500 0.7311 0.2491
Si 0.7500 0.7642 0.5909
Pd 0.2500 0.9849 0.0902
Nb 0.2500 0.3631 0.9280
Si 0.7500 0.2337 0.0886
Si 0.7500 0.2689 0.7509
Pd 0.7500 0.6276 0.7972
Pd 0.7500 0.1518 0.5408
Pd 0.7500 0.0151 0.9098
Si 0.2500 0.7663 0.9114
Si 0.2500 0.2358 0.4091
Nb 0.7500 0.6369 0.0720
Nb 0.2500 0.9748 0.7096
Nb 0.7500 0.5305 0.3900
Pd 0.2500 0.8482 0.4592
Nb 0.7500 0.0252 0.2904
Pd 0.2500 0.3724 0.2028
Nb 0.2500 0.4695 0.6100

Properties
Uncorrected formation energy, meV/atom: -660.9
Crystal system: monoclinic
Total magnetic moment, μB/atom: 0.000

=====

VASP calculation (PBE) on Nb3SiPd after structural relaxation.

Cell: 4.8138 4.8138 4.8138 Å, 90.00 90.00 90.00°
Fractional coordinates of all 5 atoms:
Nb 0.0000 0.0000 0.5000
Si 0.5000 0.5000 0.5000
Nb 0.0000 0.5000 0.0000
Nb 0.5000 0.0000 0.0000
Pd 0.0000 0.0000 0.0000

Properties
Uncorrected formation energy, meV/atom: 1314.6
Distance to the lowest polymorph of the same formula, eV/atom: 0.681
Crystal system: cubic
Total magnetic moment, μB/atom: 0.000

=====

VASP calculation (PBE) on Nb3SiPd after structural relaxation.

Cell: 4.6329 4.6329 4.6329 Å, 90.00 90.00 90.00°
Fractional coordinates of all 5 atoms:
Nb 0.0000 0.0000 0.5000
Si 0.0000 0.0000 0.0000
Nb 0.0000 0.5000 0.0000
Nb 0.5000 0.0000 0.0000
Pd 0.5000 0.5000 0.5000

Properties
Uncorrected formation energy, meV/atom: 633.4
Distance to the lowest polymorph of the same formula, eV/atom: 0.000
Crystal system: cubic
Total magnetic moment, μB/atom: 0.000

=====

VASP calculation (PBE) on Nb2Si2Pd after structural relaxation.

Cell: 6.4628 6.4628 3.6915 Å, 90.00 90.00 90.00°
Fractional coordinates of all 10 atoms:
Si 0.1289 0.3711 0.0000
Pd 0.0000 0.0000 0.0000
Nb 0.8284 0.3284 0.5000
Nb 0.6716 0.8284 0.5000
Si 0.3711 0.8711 0.0000
Nb 0.3284 0.1716 0.5000
Pd 0.5000 0.5000 0.0000
Si 0.6289 0.1289 0.0000
Si 0.8711 0.6289 0.0000
Nb 0.1716 0.6716 0.5000

Properties
Uncorrected formation energy, meV/atom: -607.5
Crystal system: tetragonal
Total magnetic moment, μB/atom: 0.000